Material: Y2CdRe
Method: DFT, SCAN
State: PBEsol geometry

Space-group type ... P4mm, No. 99
VASP energy ... -39.00 eV/atom

a b c (Å): 3.578 3.578 7.354
angles (deg): 90.00 90.00 90.00
Fractional positions:
Y 0.000 0.000 0.938
Y 0.500 0.500 0.316
Cd 0.000 0.000 0.538
Re 0.500 0.500 0.708